{
  "formula": "K3MgV2O8",
  "functional": "GGA+U",
  "state": "relaxed",
  "space_group": "P-3m1 (164)",
  "e_tot_ev_per_atom": -6.233,
  "total_magnetization_mub_per_cell": 1.09,
  "lattice_angstrom": [[5.810, 0.000, 0.000], [-2.905, 5.032, 0.000], [0.000, 0.000, 7.570]],
  "species": ["K", "K", "K", "Mg", "V", "V", "O", "O", "O", "O", "O", "O", "O", "O"],
  "fractional_positions": [[0.000, 0.000, 0.000], [0.333, 0.667, 0.682], [0.667, 0.333, 0.318], [0.000, 0.000, 0.500], [0.333, 0.667, 0.253], [0.667, 0.333, 0.747], [0.170, 0.340, 0.334], [0.170, 0.830, 0.334], [0.333, 0.667, 0.028], [0.340, 0.170, 0.666], [0.660, 0.830, 0.334], [0.667, 0.333, 0.972], [0.830, 0.170, 0.666], [0.830, 0.660, 0.666]]
}